# 1
Entry from the Open Quantum Materials Database: a relaxed structure of Dy2AgSe3 (GGA-PBE). Values from VASP.

The structure in Quantum ESPRESSO input format:
```
&SYSTEM
  ibrav = 0, nat = 24, ntyp = 3
/
ATOMIC_SPECIES
Dy 162.50 Dy.upf
Ag 107.87 Ag.upf
Se 78.96 Se.upf
ATOMIC_POSITIONS angstrom
Dy 0.179 0.993 3.358
Dy 2.355 2.978 7.139
Dy 2.861 0.993 0.341
Dy 5.036 2.978 10.156
Dy 5.395 0.993 3.441
Dy 7.570 2.978 13.255
Dy 8.076 0.993 6.457
Dy 10.252 2.978 10.239
Ag 2.439 0.993 9.957
Ag 2.777 2.978 3.159
Ag 7.654 0.993 10.437
Ag 7.993 2.978 3.639
Se 0.440 0.993 8.190
Se 0.883 2.978 1.355
Se 2.461 2.978 11.757
Se 2.755 0.993 4.958
Se 4.332 0.993 8.154
Se 4.776 2.978 1.392
Se 5.655 0.993 12.204
Se 6.099 2.978 5.443
Se 7.676 2.978 8.638
Se 7.970 0.993 1.840
Se 9.548 0.993 12.241
Se 9.992 2.978 5.406
CELL_PARAMETERS angstrom
10.431 0.000 0.000
0.000 3.971 0.000
0.000 0.000 13.596
```

Properties
**E**: -5.0643 eV per atom

# 2
Entry from the Open Quantum Materials Database: a relaxed structure of Nd2In8Fe (GGA-PBE). Values from VASP.

The structure in Quantum ESPRESSO input format:
```
&SYSTEM
  ibrav = 0, nat = 11, ntyp = 3
/
ATOMIC_SPECIES
Nd 144.24 Nd.upf
In 114.82 In.upf
Fe 55.84 Fe.upf
ATOMIC_POSITIONS angstrom
Nd 0.000 0.000 2.414
Nd 0.000 0.000 10.012
In 0.000 2.333 0.000
In 0.000 2.333 4.755
In 0.000 2.333 7.671
In 2.333 0.000 0.000
In 2.333 0.000 4.755
In 2.333 0.000 7.671
In 2.333 2.333 2.405
In 2.333 2.333 10.021
Fe 0.000 0.000 6.213
CELL_PARAMETERS angstrom
4.666 0.000 0.000
0.000 4.666 0.000
0.000 0.000 12.426
```

Properties
**E**: -3.9079 eV per atom

# 3
Entry from the Open Quantum Materials Database: a relaxed structure of NaLuCdS3 (GGA-PBE). Values from VASP.

The structure in Quantum ESPRESSO input format:
```
&SYSTEM
  ibrav = 0, nat = 24, ntyp = 4
/
ATOMIC_SPECIES
Na 22.99 Na.upf
Lu 174.97 Lu.upf
Cd 112.41 Cd.upf
S 32.06 S.upf
ATOMIC_POSITIONS angstrom
Na 2.331 0.994 0.108
Na 3.003 2.981 6.760
Na 7.666 0.994 6.545
Na 8.338 2.981 13.197
Lu 0.129 2.981 3.432
Lu 5.206 0.994 10.085
Lu 5.463 2.981 3.220
Lu 10.540 0.994 9.873
Cd 2.525 2.981 10.470
Cd 2.809 0.994 3.818
Cd 7.860 2.981 9.487
Cd 8.144 0.994 2.834
S 0.355 2.981 11.678
S 0.732 0.994 5.148
S 2.498 0.994 8.873
S 2.836 2.981 2.221
S 4.602 2.981 11.800
S 4.979 0.994 5.026
S 5.690 2.981 8.279
S 6.067 0.994 1.505
S 7.833 0.994 11.084
S 8.171 2.981 4.432
S 9.936 2.981 8.157
S 10.314 0.994 1.627
CELL_PARAMETERS angstrom
10.669 0.000 0.000
0.000 3.974 0.000
0.000 0.000 13.305
```

Properties
**E**: -4.4713 eV per atom
**Offset from the most stable computed form**: 0.042 eV per atom

# 4
Entry from the Open Quantum Materials Database: a relaxed structure of PuBeFe (GGA-PBE). Values from VASP.

The structure in Quantum ESPRESSO input format:
```
&SYSTEM
  ibrav = 0, nat = 3, ntyp = 3
/
ATOMIC_SPECIES
Pu 244.00 Pu.upf
Be 9.01 Be.upf
Fe 55.84 Fe.upf
ATOMIC_POSITIONS angstrom
Pu 0.000 0.000 0.000
Be 4.330 4.330 4.330
Fe 1.443 1.443 1.443
CELL_PARAMETERS angstrom
0.000 2.887 2.887
2.887 0.000 2.887
2.887 2.887 0.000
```

Properties
**E**: -7.1811 eV per atom
**Offset from the most stable computed form**: 1.163 eV per atom

# 5
Entry from the Open Quantum Materials Database: a relaxed structure of TbBeCd (GGA-PBE). Values from VASP.

The structure in Quantum ESPRESSO input format:
```
&SYSTEM
  ibrav = 0, nat = 3, ntyp = 3
/
ATOMIC_SPECIES
Tb 158.93 Tb.upf
Be 9.01 Be.upf
Cd 112.41 Cd.upf
ATOMIC_POSITIONS angstrom
Tb 0.000 0.000 0.000
Be 4.776 4.776 4.776
Cd 3.184 3.184 3.184
CELL_PARAMETERS angstrom
0.000 3.184 3.184
3.184 0.000 3.184
3.184 3.184 0.000
```

Properties
**E**: -3.0138 eV per atom

# 6
Entry from the Open Quantum Materials Database: a relaxed structure of CdInAg2 (GGA-PBE). Values from VASP.

The structure in Quantum ESPRESSO input format:
```
&SYSTEM
  ibrav = 0, nat = 4, ntyp = 3
/
ATOMIC_SPECIES
Cd 112.41 Cd.upf
In 114.82 In.upf
Ag 107.87 Ag.upf
ATOMIC_POSITIONS angstrom
Cd 0.000 0.000 0.000
In 5.151 5.151 5.151
Ag 1.717 1.717 1.717
Ag 3.434 3.434 3.434
CELL_PARAMETERS angstrom
0.000 3.434 3.434
3.434 0.000 3.434
3.434 3.434 0.000
```

Properties
**E**: -2.3062 eV per atom

# 7
Entry from the Open Quantum Materials Database: a relaxed structure of Cs2Er2SeO3 (GGA-PBE). Values from VASP.

The structure in Quantum ESPRESSO input format:
```
&SYSTEM
  ibrav = 0, nat = 8, ntyp = 4
/
ATOMIC_SPECIES
Cs 132.91 Cs.upf
Er 167.26 Er.upf
Se 78.96 Se.upf
O 16.00 O.upf
ATOMIC_POSITIONS angstrom
Cs 0.000 0.000 0.000
Cs 0.000 2.099 6.691
Er 1.818 1.049 3.304
Er 1.818 1.049 11.108
Se 0.000 0.000 9.296
O 0.000 0.000 4.322
O 0.000 2.099 2.170
O 0.000 2.099 12.103
CELL_PARAMETERS angstrom
3.635 0.000 0.000
-1.818 3.148 0.000
0.000 0.000 14.488
```

Properties
**E**: -5.9561 eV per atom

# 8
Entry from the Open Quantum Materials Database: a relaxed structure of LuBeReMo (GGA-PBE). Values from VASP.

The structure in Quantum ESPRESSO input format:
```
&SYSTEM
  ibrav = 0, nat = 4, ntyp = 4
/
ATOMIC_SPECIES
Lu 174.97 Lu.upf
Be 9.01 Be.upf
Re 186.21 Re.upf
Mo 95.94 Mo.upf
ATOMIC_POSITIONS angstrom
Lu 0.000 0.000 0.000
Be 1.578 1.578 1.578
Re 3.156 3.156 3.156
Mo 4.734 4.734 4.734
CELL_PARAMETERS angstrom
0.000 3.156 3.156
3.156 0.000 3.156
3.156 3.156 0.000
```

Properties
**E**: -7.7697 eV per atom
**Offset from the most stable computed form**: 0.000 eV per atom

# 9
Entry from the Open Quantum Materials Database: a relaxed structure of K5PaO5 (GGA-PBE). Values from VASP.

The structure in Quantum ESPRESSO input format:
```
&SYSTEM
  ibrav = 0, nat = 11, ntyp = 3
/
ATOMIC_SPECIES
K 39.10 K.upf
Pa 231.04 Pa.upf
O 16.00 O.upf
ATOMIC_POSITIONS angstrom
K 0.000 0.000 0.000
K 3.332 0.000 1.242
K 2.433 0.000 4.526
K 7.568 0.000 2.402
K 6.669 0.000 5.686
Pa -1.194 0.000 3.464
O 0.727 0.000 2.472
O -0.204 0.000 5.420
O 5.001 0.000 3.464
O 10.205 0.000 1.508
O 9.274 0.000 4.455
CELL_PARAMETERS angstrom
6.195 -2.491 0.000
6.195 2.491 0.000
-2.388 0.000 6.928
```

Properties
**E**: -5.5007 eV per atom

# 10
Entry from the Open Quantum Materials Database: a relaxed structure of PrSb (GGA-PBE). Values from VASP.

The structure in Quantum ESPRESSO input format:
```
&SYSTEM
  ibrav = 0, nat = 2, ntyp = 2
/
ATOMIC_SPECIES
Pr 140.91 Pr.upf
Sb 121.76 Sb.upf
ATOMIC_POSITIONS angstrom
Pr 0.000 0.000 0.000
Sb 5.397 5.397 5.397
CELL_PARAMETERS angstrom
0.000 3.598 3.598
3.598 0.000 3.598
3.598 3.598 0.000
```

Properties
**E**: -5.0884 eV per atom

# 11
Entry from the Open Quantum Materials Database: a relaxed structure of HfTlAg3S4 (GGA-PBE). Values from VASP.

The structure in Quantum ESPRESSO input format:
```
&SYSTEM
  ibrav = 0, nat = 9, ntyp = 4
/
ATOMIC_SPECIES
Hf 178.49 Hf.upf
Tl 204.38 Tl.upf
Ag 107.87 Ag.upf
S 32.06 S.upf
ATOMIC_POSITIONS angstrom
Hf 0.000 0.000 0.000
Tl 3.147 3.147 3.147
Ag 0.000 0.000 3.147
Ag 0.000 3.147 0.000
Ag 3.147 0.000 0.000
S 1.389 1.389 4.905
S 1.389 4.905 1.389
S 4.905 1.389 1.389
S 4.905 4.905 4.905
CELL_PARAMETERS angstrom
6.294 0.000 0.000
0.000 6.294 0.000
0.000 0.000 6.294
```

Properties
**E**: -4.7729 eV per atom
**Offset from the most stable computed form**: 0.000 eV per atom

# 12
Entry from the Open Quantum Materials Database: a relaxed structure of Y2AlCd2Ga (GGA-PBE). Values from VASP.

The structure in Quantum ESPRESSO input format:
```
&SYSTEM
  ibrav = 0, nat = 24, ntyp = 4
/
ATOMIC_SPECIES
Y 88.91 Y.upf
Al 26.98 Al.upf
Cd 112.41 Cd.upf
Ga 69.72 Ga.upf
ATOMIC_POSITIONS angstrom
Y 0.000 0.000 0.000
Y -0.024 2.374 4.106
Y -0.010 0.000 8.229
Y 3.885 2.374 1.348
Y 3.840 0.000 5.503
Y 3.844 2.374 9.600
Y 7.752 0.000 2.705
Y 7.754 2.374 6.867
Al 1.932 0.000 2.739
Al 5.803 2.374 4.110
Al 5.801 0.000 8.221
Al 9.678 0.000 5.478
Cd 0.975 2.374 1.380
Cd 0.934 0.000 5.473
Cd 0.950 2.374 9.582
Cd 4.830 0.000 2.762
Cd 4.850 2.374 6.859
Cd 4.845 0.000 10.936
Cd 8.697 2.374 4.120
Cd 8.712 0.000 8.219
Ga -1.955 2.374 9.597
Ga 1.925 2.374 6.851
Ga 5.808 0.000 0.001
Ga 9.687 2.374 1.367
CELL_PARAMETERS angstrom
11.634 0.000 0.000
0.000 4.749 0.000
-3.886 0.000 10.967
```

Properties
**E**: -3.8068 eV per atom